Crystalline CsHoCuO3 at its relaxed geometry, computed with PBE.

Calculated values
calculated volume: 240.77 Å³/cell
energy relative to the elements, uncorrected: -11.71 eV per formula unit
D(E_F): 0.08 states/eV per atom
total moment: 1.0 μB/f.u.

abc: 7.926 3.634 9.043
angles: 90.00 112.43 90.00
Space group P2_1/m (No. 11)
Unique sites:
1 Cs 0.217 0.250 0.212 x2
2 Ho 0.331 0.750 0.864 x2
3 Cu 0.050 0.250 0.627 x2
4 O 0.124 0.750 0.597 x2
5 O 0.143 0.250 0.858 x2
6 O 0.482 0.750 0.126 x2